This record from Alexandria via LeMat-Bulk describes a geometry-optimized PrPuPd structure. The functional is PBE-GGA.

Structure (extended XYZ):
```
3
Lattice="-2.1312 2.6621 1.3077 0.3471 -1.3754 3.3655 5.6835 2.7535 -1.4426" Properties=species:S:1:pos:R:3 pbc="T T T"
Pd 0.6637 1.7462 2.6269
Pr 2.9827 2.1145 0.5565
Pu 0.2531 0.1794 0.0472
```

Values from the calculation:
Its total energy is -8.37 eV/atom. The density of states at the Fermi level is 10.0 states/eV/f.u. The symmetry is I4mm (107). For the formation energy, the calculation gives -266 meV per atom.

This record from Alexandria via LeMat-Bulk describes a geometry-optimized CoNiPbBr2 structure. The functional is PBE-GGA.

Structure (extended XYZ):
```
5
Lattice="-0.1092 -4.7674 1.1163 -0.5743 -1.0445 -4.5168 4.8591 -0.2428 -0.5617" Properties=species:S:1:pos:R:3 pbc="T T T"
Pb 2.0878 -3.0273 -1.9811
Br 2.4296 -0.1214 -0.2808
Br -0.0546 -2.3837 0.5582
Co 0.0000 0.0000 0.0000
Ni -0.2872 -0.5223 -2.2584
```

Values from the calculation:
Its total energy is -3.60 eV/atom. The density of states at the Fermi level is 5.0 states/eV/f.u. The symmetry is P4/mmm (123). The calculation puts the formation energy (no corrections) at 0.39 eV per atom.

This record from Alexandria via LeMat-Bulk describes a geometry-optimized Sm3GeB2Pt8 structure. The functional is PBE-GGA.

Structure (extended XYZ):
```
14
Lattice="5.4702 0.0000 0.0000 -2.7351 4.7373 0.0000 0.0000 0.0000 9.6487" Properties=species:S:1:pos:R:3 pbc="T T T"
B 0.0000 3.1582 1.2090
B 2.7351 1.5791 8.4397
Pt 2.7351 1.5791 0.7913
Pt 0.0000 1.5888 2.6540
Pt 4.0942 0.7944 6.9947
Pt 1.3759 0.7944 6.9947
Pt 0.0000 3.1582 8.8574
Pt -1.3592 3.9429 2.6540
Pt 1.3592 3.9429 2.6540
Pt 2.7351 3.1485 6.9947
Sm 0.0000 3.1582 5.6695
Sm 0.0000 0.0000 0.0000
Sm 2.7351 1.5791 3.9793
Ge 0.0000 0.0000 4.8244
```

Values from the calculation:
Its total energy is -6.49 eV/atom. The density of states at the Fermi level is 6.6 states/eV/f.u. The symmetry is P-3m1 (164). For the formation energy, the calculation gives -742 meV per atom.

This record from Alexandria via LeMat-Bulk describes a geometry-optimized RbHg2S2 structure. The functional is PBE-GGA.

Structure (extended XYZ):
```
10
Lattice="-5.3686 -2.7800 -4.3239 5.8621 0.3588 -4.5556 1.2542 -4.0594 5.7984" Properties=species:S:1:pos:R:3 pbc="T T T"
S 0.3296 -4.4948 -0.0733
S 4.8511 -3.2311 -0.1666
S -3.1035 -3.2494 -2.9146
S 1.4181 -1.9857 -3.0079
Hg 2.1188 -2.3151 -0.4660
Hg -0.0011 -5.1126 2.4898
Hg 1.7488 -1.3679 -5.5710
Hg -0.3712 -4.1654 -2.6151
Rb 4.7464 -1.0554 -3.0765
Rb -2.9988 -5.4251 -0.0046
```

Values from the calculation:
Its total energy is -2.31 eV/atom. The density of states at the Fermi level is 1.9 states/eV/f.u. The symmetry is C2/c (15). The calculation puts the formation energy (no corrections) at -0.35 eV per atom.

This record from Alexandria via LeMat-Bulk describes a geometry-optimized HoMgSi4 structure. The functional is PBE-GGA.

Structure (extended XYZ):
```
6
Lattice="5.2470 0.0000 0.0000 2.6235 4.5441 0.0000 2.6235 1.5147 4.2842" Properties=species:S:1:pos:R:3 pbc="T T T"
Si 5.2470 1.4946 2.6847
Si 5.2470 3.0294 0.5142
Si 6.5762 3.7968 2.6847
Si 3.9179 3.7968 2.6847
Mg 0.0000 0.0000 0.0000
Ho 2.6235 1.5147 1.0710
```

Values from the calculation:
Its total energy is -4.82 eV/atom. The density of states at the Fermi level is 2.5 states/eV/f.u. The symmetry is F-43m (216). The calculation puts the formation energy (no corrections) at -0.18 eV per atom.

This record from Alexandria via LeMat-Bulk describes a geometry-optimized HfZrRe4 structure. The functional is PBE-GGA.

Structure (extended XYZ):
```
6
Lattice="5.2918 0.0000 0.0000 2.6459 4.5829 0.0000 2.6459 1.5276 4.3208" Properties=species:S:1:pos:R:3 pbc="T T T"
Re 5.2918 1.5267 2.7008
Re 5.2918 3.0552 0.5391
Re 6.6156 3.8195 2.7008
Re 3.9681 3.8195 2.7008
Zr 2.6459 1.5276 1.0802
Hf 0.0000 0.0000 0.0000
```

Values from the calculation:
Its total energy is -11.72 eV/atom. The density of states at the Fermi level is 8.0 states/eV/f.u. The symmetry is F-43m (216). For the formation energy, the calculation gives -333 meV per atom.

This record from Alexandria via LeMat-Bulk describes a geometry-optimized TbSmY2Er6 structure. The functional is PBE-GGA.

Structure (extended XYZ):
```
20
Lattice="-2.9710 4.2537 7.8616 -1.1340 -8.0232 3.3172 8.0139 3.4840 0.5481" Properties=species:S:1:pos:R:3 pbc="T T T"
Er 1.4255 -5.0187 5.9861
Er 1.1624 3.2144 8.1936
Er -1.8183 -2.1752 10.4501
Er 5.4398 2.9593 4.7719
Er 2.7464 -3.4999 3.5333
Er 3.2996 1.1914 6.8470
Er -1.5309 -3.2447 6.9549
Er -1.0421 -3.6970 3.3268
Er 5.7272 1.8897 1.2767
Er 4.9509 3.4115 8.4001
Er 2.4834 4.7332 5.7407
Er 0.6093 -1.4769 4.8799
Sm 5.5215 6.3420 6.5242
Sm -1.6126 -6.6275 5.2026
Tb 0.3873 -0.1162 8.0784
Tb 3.5215 -0.1693 3.6485
Y 1.1083 -1.5303 1.4852
Y 0.5699 1.7879 5.1293
Y 2.8006 1.2448 10.2417
Y 3.3390 -2.0734 6.5976
```

Values from the calculation:
Its total energy is -4.84 eV/atom. The density of states at the Fermi level is 15.0 states/eV/f.u. The symmetry is C2/c (15). For the formation energy, the calculation gives 127 meV per atom.

This record from Alexandria via LeMat-Bulk describes a geometry-optimized CeDyAu6 structure. The functional is PBE-GGA.

Structure (extended XYZ):
```
8
Lattice="-1.8932 -0.4786 4.4931 -1.7254 -4.3778 1.4776 6.5756 -0.8635 5.3495" Properties=species:S:1:pos:R:3 pbc="T T T"
Au 0.7866 -1.2202 5.5432
Au -0.3447 -1.8614 2.3274
Au 3.5467 -1.9721 6.6261
Au 2.1705 -4.4997 5.7770
Au 3.3017 -3.8585 8.9929
Au -0.5897 -3.7478 4.6941
Ce 2.4251 -2.6206 3.4136
Dy 0.0000 0.0000 0.0000
```

Values from the calculation:
Its total energy is -4.40 eV/atom. The density of states at the Fermi level is 7.4 states/eV/f.u. The symmetry is C2/m (12). For the formation energy, the calculation gives -624 meV per atom.